Ac4GePdSe2: relaxed, PBE-GGA.

a = 7.784 Å, b = 4.492 Å, c = 7.920 Å
α = 90.00°, β = 108.61°, γ = 90.00°
Sites, in units of the cell vectors:
Ac  0.246  0.000  0.240
Ac  0.252  0.500  0.761
Ac  0.748  0.500  0.239
Ac  0.754  0.000  0.760
Ge  0.500  0.000  0.000
Pd  0.000  0.500  0.000
Se  0.000  0.000  0.500
Se  0.500  0.500  0.500

Calculated values
Energy relative to the elements, uncorrected   -1.300 eV/atom
Volume   262.4 Å³ per cell
Total energy   -5.4520 eV per atom

CdWAu2: relaxed, PBE-GGA.

a = 9.975 Å, b = 9.975 Å, c = 9.975 Å
α = 156.52°, β = 156.52°, γ = 33.45°
Sites, in units of the cell vectors:
Cd  0.000  0.000  0.000
Cd  0.750  0.250  0.500
W  0.250  0.750  0.500
W  0.500  0.500  0.000
Au  0.135  0.625  0.010
Au  0.375  0.385  0.510
Au  0.615  0.125  0.990
Au  0.875  0.865  0.490

Calculated values
E above lowest polymorph   266.9 kJ/mol of formula units
Formation energy   20.11 kcal/mol of atoms
Volume   157.5 Å³ per cell
Total energy   -4.2337 eV per atom

NpNb2Ga: relaxed, PBE-GGA.

a = 4.511 Å, b = 4.511 Å, c = 3.589 Å
α = 90.00°, β = 90.00°, γ = 90.00°
Sites, in units of the cell vectors:
Np  0.000  0.000  0.000
Nb  0.000  0.500  0.500
Nb  0.500  0.000  0.500
Ga  0.500  0.500  0.000

Calculated values
E above lowest polymorph   0.0 kJ/mol of formula units
Formation energy   0.56 kcal/mol of atoms
Volume   73.0 Å³ per cell
Total energy   -9.0025 eV per atom

Hg2Pd2Au3: relaxed, PBE-GGA.

a = 4.823 Å, b = 4.823 Å, c = 6.989 Å
α = 103.51°, β = 103.51°, γ = 54.43°
Sites, in units of the cell vectors:
Hg  0.077  0.077  0.234
Hg  0.923  0.923  0.766
Pd  0.216  0.216  0.650
Pd  0.784  0.784  0.350
Au  0.357  0.357  0.077
Au  0.500  0.500  0.500
Au  0.643  0.643  0.923

Calculated values
Formation energy   -1.42 kcal/mol of atoms
Volume   127.6 Å³ per cell
Total energy   -3.0360 eV per atom

- Which of these has the highest total energy?
  Hg2Pd2Au3

- Number 2 is which compound?
  CdWAu2

Copy entry 4 word for word.
Hg2Pd2Au3: relaxed, PBE-GGA.

a = 4.823 Å, b = 4.823 Å, c = 6.989 Å
α = 103.51°, β = 103.51°, γ = 54.43°
Sites, in units of the cell vectors:
Hg  0.077  0.077  0.234
Hg  0.923  0.923  0.766
Pd  0.216  0.216  0.650
Pd  0.784  0.784  0.350
Au  0.357  0.357  0.077
Au  0.500  0.500  0.500
Au  0.643  0.643  0.923

Calculated values
Formation energy   -1.42 kcal/mol of atoms
Volume   127.6 Å³ per cell
Total energy   -3.0360 eV per atom